No. 1
A relaxed Zr2SiB crystal, computed with GGA-PBE.

## Properties
ΔE_f (raw)	-0.537	eV per atom
electronic total energy	-7.84	eV/atom
SG	No. 166
theoretical density	5.37	g/cm3
energy above the lowest structure with this stoichiometry	0.000	eV/atom

Cell and atoms, written as POSCAR:
```
Zr2SiB
1.0
3.551 0.000 0.000
1.776 3.076 0.000
1.776 1.025 6.263
Si B Zr
1 1 2
direct
0.000 0.000 0.000
0.500 0.500 0.500
0.761 0.761 0.717
0.239 0.239 0.283
```

=====

No. 2
A relaxed Ta3TlCr crystal, computed with GGA-PBE.

## Properties
electronic total energy	-8.54	eV/atom
SG	No. 221
theoretical density	13.08	g/cm3
energy above the lowest structure with this stoichiometry	0.000	eV/atom

Cell and atoms, written as POSCAR:
```
Ta3TlCr
1.0
-0.037 -3.653 2.899
3.781 1.673 2.157
-2.730 2.367 2.948
Tl Ta Cr
1 3 1
direct
0.500 0.500 0.500
0.500 0.000 0.000
0.000 0.000 0.500
0.000 0.500 0.000
0.000 0.000 0.000
```

=====

No. 3
A relaxed Cd3Ga3Pb crystal, computed with GGA-PBE.

## Properties
electronic total energy	-1.82	eV/atom
SG	No. 223
theoretical density	5.87	g/cm3

Cell and atoms, written as POSCAR:
```
Cd3Ga3Pb
1.0
7.526 0.000 0.000
0.000 7.526 0.000
0.000 0.000 7.526
Cd Ga Pb
6 6 2
direct
0.000 0.500 0.750
0.500 0.250 0.000
0.500 0.750 0.000
0.750 0.000 0.500
0.000 0.500 0.250
0.250 0.000 0.500
0.750 0.500 0.000
0.250 0.500 0.000
0.500 0.000 0.750
0.000 0.750 0.500
0.500 0.000 0.250
0.000 0.250 0.500
0.000 0.000 0.000
0.500 0.500 0.500
```

=====

No. 4
A relaxed CePuO2 crystal, computed with GGA-PBE.

## Properties
ΔE_f (raw)	-2.676	eV per atom
electronic total energy	-10.22	eV/atom
SG	No. 166
theoretical density	11.39	g/cm3
energy above the lowest structure with this stoichiometry	0.000	eV/atom

Cell and atoms, written as POSCAR:
```
CePuO2
1.0
3.494 0.000 0.000
1.747 3.026 0.000
1.747 1.009 5.735
Ce O Pu
1 2 1
direct
0.500 0.500 0.500
0.747 0.747 0.759
0.253 0.253 0.241
0.000 0.000 0.000
```